PBE+U ErTl2Co3F12, optimized geometry; space-group type = R-3m (166); uncorrected energy = -5.073 eV/atom; size of the total moment = 10.0 μB per cell
1.0
7.6242 0.1127 0.0799
3.8632 6.5739 0.0799
3.8632 2.2487 6.1779
Co F Tl Er
3 12 2 1
direct
0.5000 0.0000 0.0000
0.0000 0.5000 0.0000
0.0000 0.0000 0.5000
0.6885 0.0808 0.6885
0.9201 0.3426 0.9201
0.3115 0.3115 0.9192
0.3115 0.9192 0.3115
0.0808 0.6885 0.6885
0.9201 0.9201 0.3426
0.0799 0.6574 0.0799
0.6885 0.6885 0.0808
0.3426 0.9201 0.9201
0.9192 0.3115 0.3115
0.6574 0.0799 0.0799
0.0799 0.0799 0.6574
0.6014 0.6014 0.6014
0.3986 0.3986 0.3986
0.0000 0.0000 0.0000